# BaCa2PrTl4 PBE-GGA relaxed
# ΔE_f, eV/atom: -0.403
# Electronic total energy, eV/atom: -2.9246
data_BaCa2PrTl4
_symmetry_space_group_name_H-M 'R -3 m'
_symmetry_Int_Tables_number 166
_symmetry_space_group_name_Hall '-R 3 2"'
_cell_length_a 5.6590
_cell_length_b 5.6590
_cell_length_c 27.9150
_cell_angle_alpha 90.00
_cell_angle_beta 90.00
_cell_angle_gamma 120.00
loop_
_atom_site_label
_atom_site_type_symbol
_atom_site_fract_x
_atom_site_fract_y
_atom_site_fract_z
Ba1 Ba 0.0000 0.0000 0.0000
Ca1 Ca 0.0000 0.0000 0.2491
Pr1 Pr 0.0000 0.0000 0.5000
Tl1 Tl 0.0000 0.0000 0.1278
Tl2 Tl 0.0000 0.0000 0.3809

---

# BaCaPr2Tl4 PBE-GGA relaxed
# ΔE_f, eV/atom: -0.344
# Electronic total energy, eV/atom: -3.2127
data_BaCaPr2Tl4
_symmetry_space_group_name_H-M 'R -3 m'
_symmetry_Int_Tables_number 166
_symmetry_space_group_name_Hall '-R 3 2"'
_cell_length_a 5.5974
_cell_length_b 5.5974
_cell_length_c 29.1691
_cell_angle_alpha 90.00
_cell_angle_beta 90.00
_cell_angle_gamma 120.00
loop_
_atom_site_label
_atom_site_type_symbol
_atom_site_fract_x
_atom_site_fract_y
_atom_site_fract_z
Ba1 Ba 0.0000 0.0000 0.0000
Ca1 Ca 0.0000 0.0000 0.5000
Pr1 Pr 0.0000 0.0000 0.2404
Tl1 Tl 0.0000 0.0000 0.1252
Tl2 Tl 0.0000 0.0000 0.3850

---

ΔE_f of number 1 (BaCa2PrTl4)? -0.403 eV/atom

---

Among the records above, which one has the lowest electronic total energy? BaCaPr2Tl4